Entry 1:
## TiRu (PBE)

Data for an optimized crystal structure of TiRu.

Properties
Energy in eV/atom: -7.50
Space-group type: Pm-3n

Lattice parameters (Å, degrees): 6.8115 6.8115 6.8115 90.00 90.00 90.00
Last column: nearest neighbours and their distance in Å.
Atoms (fractional coordinates):
Ti  0.0000  0.7500  0.5000  4 Ru 2.41
Ti  0.5000  0.0000  0.7500  4 Ru 2.41
Ti  0.5000  0.0000  0.2500  4 Ru 2.41
Ti  0.7500  0.5000  0.0000  4 Ru 2.41
Ti  0.2500  0.5000  0.0000  4 Ru 2.41
Ti  0.0000  0.2500  0.5000  4 Ru 2.41
Ru  0.0000  0.5000  0.7500  4 Ti 2.41
Ru  0.2500  0.0000  0.5000  4 Ti 2.41
Ru  0.0000  0.5000  0.2500  4 Ti 2.41
Ru  0.5000  0.7500  0.0000  4 Ti 2.41
Ru  0.5000  0.2500  0.0000  4 Ti 2.41
Ru  0.7500  0.0000  0.5000  4 Ti 2.41

=====

Entry 2:
## TiRu (PBE)

Data for an optimized crystal structure of TiRu.

Properties
Energy in eV/atom: -8.66
Space-group type: P6_3/m

Lattice parameters (Å, degrees): 7.0206 7.0206 4.6196 90.00 90.00 120.00
Last column: nearest neighbours and their distance in Å.
Atoms (fractional coordinates):
Ti  0.8014  0.0935  0.2500  4 Ru 2.43-2.62
Ti  0.1986  0.9065  0.7500  4 Ru 2.43-2.62
Ti  0.9065  0.7079  0.2500  4 Ru 2.43-2.62
Ti  0.7079  0.8014  0.7500  4 Ru 2.43-2.62
Ti  0.0935  0.2921  0.7500  4 Ru 2.43-2.62
Ti  0.2921  0.1986  0.2500  4 Ru 2.43-2.62
Ru  0.6285  0.1015  0.7500  4 Ti 2.43-2.62, 2 Ru 2.62
Ru  0.3715  0.8985  0.2500  4 Ti 2.43-2.62, 2 Ru 2.62
Ru  0.8985  0.5270  0.7500  4 Ti 2.43-2.62, 2 Ru 2.62
Ru  0.4730  0.3715  0.7500  4 Ti 2.43-2.62, 2 Ru 2.62
Ru  0.5270  0.6285  0.2500  4 Ti 2.43-2.62, 2 Ru 2.62
Ru  0.1015  0.4730  0.2500  4 Ti 2.43-2.62, 2 Ru 2.62

=====

Entry 3:
## Ti5Ru3 (PBE)

Data for an optimized crystal structure of Ti5Ru3.

Properties
Energy in eV/atom: -9.00
Space-group type: P4/mmm

Lattice parameters (Å, degrees): 3.0838 3.0838 12.7197 90.00 90.00 90.00
Last column: nearest neighbours and their distance in Å.
Atoms (fractional coordinates):
Ru  0.5000  0.5000  0.1219  8 Ti 2.65-2.68
Ru  0.0000  0.0000  0.5000  8 Ti 2.66
Ru  0.5000  0.5000  0.8781  8 Ti 2.65-2.68
Ti  0.5000  0.5000  0.6199  4 Ru 2.66, 4 Ti 2.81
Ti  0.0000  0.0000  0.2403  4 Ru 2.65, 4 Ti 2.81
Ti  0.0000  0.0000  0.7597  4 Ru 2.65, 4 Ti 2.81
Ti  0.5000  0.5000  0.3801  4 Ru 2.66, 4 Ti 2.81
Ti  0.0000  0.0000  0.0000  8 Ru 2.68

=====

Entry 4:
## TiRu (PBE)

Data for an optimized crystal structure of TiRu.

Properties
Energy in eV/atom: -8.20
Space-group type: P6_3/mmc

Lattice parameters (Å, degrees): 4.1712 4.1712 5.1486 90.00 90.00 120.00
Last column: nearest neighbours and their distance in Å.
Atoms (fractional coordinates):
Ru  0.3333  0.6667  0.7500  5 Ti 2.41-2.57
Ru  0.6667  0.3333  0.2500  5 Ti 2.41-2.57
Ti  0.3333  0.6667  0.2500  5 Ru 2.41-2.57
Ti  0.6667  0.3333  0.7500  5 Ru 2.41-2.57

=====

Entry 5:
## TiRu (PBE)

Data for an optimized crystal structure of TiRu.

Properties
Energy in eV/atom: -8.74
Space-group type: Fddd

Lattice parameters (Å, degrees): 9.6663 7.9321 6.6913 90.00 90.00 90.00
Last column: nearest neighbours and their distance in Å.
Atoms (fractional coordinates):
Ti  0.2500  0.5655  0.2500  4 Ru 2.50-2.53
Ti  0.7500  0.4345  0.2500  4 Ru 2.50-2.53
Ti  0.0000  0.6845  0.5000  4 Ru 2.50-2.53
Ti  0.2500  0.9345  0.2500  4 Ru 2.50-2.53
Ti  0.7500  0.5655  0.7500  4 Ru 2.50-2.53
Ti  0.5000  0.3155  0.0000  4 Ru 2.50-2.53
Ti  0.2500  0.0655  0.7500  4 Ru 2.50-2.53
Ti  0.0000  0.8155  0.0000  4 Ru 2.50-2.53
Ti  0.7500  0.0655  0.2500  4 Ru 2.50-2.53
Ti  0.5000  0.1845  0.5000  4 Ru 2.50-2.53
Ti  0.0000  0.1845  0.0000  4 Ru 2.50-2.53
Ti  0.5000  0.8155  0.5000  4 Ru 2.50-2.53
Ti  0.2500  0.4345  0.7500  4 Ru 2.50-2.53
Ti  0.7500  0.9345  0.7500  4 Ru 2.50-2.53
Ti  0.0000  0.3155  0.5000  4 Ru 2.50-2.53
Ti  0.5000  0.6845  0.0000  4 Ru 2.50-2.53
Ru  0.5000  0.5000  0.3078  4 Ti 2.50-2.53, 1 Ru 2.57
Ru  0.7500  0.7500  0.4422  4 Ti 2.50-2.53, 1 Ru 2.57
Ru  0.2500  0.2500  0.0578  4 Ti 2.50-2.53, 1 Ru 2.57
Ru  0.0000  0.0000  0.3078  4 Ti 2.50-2.53, 1 Ru 2.57
Ru  0.0000  0.5000  0.8078  4 Ti 2.50-2.53, 1 Ru 2.57
Ru  0.5000  0.5000  0.6922  4 Ti 2.50-2.53, 1 Ru 2.57
Ru  0.2500  0.2500  0.4422  4 Ti 2.50-2.53, 1 Ru 2.57
Ru  0.7500  0.2500  0.5578  4 Ti 2.50-2.53, 1 Ru 2.57
Ru  0.7500  0.7500  0.0578  4 Ti 2.50-2.53, 1 Ru 2.57
Ru  0.2500  0.7500  0.9422  4 Ti 2.50-2.53, 1 Ru 2.57
Ru  0.7500  0.2500  0.9422  4 Ti 2.50-2.53, 1 Ru 2.57
Ru  0.5000  0.0000  0.1922  4 Ti 2.50-2.53, 1 Ru 2.57
Ru  0.5000  0.0000  0.8078  4 Ti 2.50-2.53, 1 Ru 2.57
Ru  0.0000  0.5000  0.1922  4 Ti 2.50-2.53, 1 Ru 2.57
Ru  0.2500  0.7500  0.5578  4 Ti 2.50-2.53, 1 Ru 2.57
Ru  0.0000  0.0000  0.6922  4 Ti 2.50-2.53, 1 Ru 2.57

=====

Entry 6:
## TiRu4 (PBE)

Data for an optimized crystal structure of TiRu4.

Properties
Energy in eV/atom: -7.60
Space-group type: Pm-3m

Lattice parameters (Å, degrees): 4.4262 4.4262 4.4262 90.00 90.00 90.00
Last column: nearest neighbours and their distance in Å.
Atoms (fractional coordinates):
Ru  0.5000  0.0000  0.5000  2 Ti 2.21
Ru  0.0000  0.0000  0.0000  12 Ru 3.13
Ru  0.5000  0.5000  0.0000  2 Ti 2.21
Ru  0.0000  0.5000  0.5000  2 Ti 2.21
Ti  0.5000  0.5000  0.5000  6 Ru 2.21

=====

Entry 7:
## Ti2Ru (PBE)

Data for an optimized crystal structure of Ti2Ru.

Properties
Energy in eV/atom: -8.48
Space-group type: R-3m

Lattice parameters (Å, degrees): 4.2446 4.2500 4.2479 120.02 119.89 90.00
Last column: nearest neighbours and their distance in Å.
Atoms (fractional coordinates):
Ti  0.7500  0.2500  0.4999  4 Ru 2.60
Ti  0.2500  0.7500  0.5001  4 Ru 2.60
Ru  0.0000  0.0000  0.0000  8 Ti 2.60

=====

Entry 8:
## Ti5Ru (PBE)

Data for an optimized crystal structure of Ti5Ru.

Properties
Energy relative to the lowest polymorph listed for this composition in meV per atom: 31
Space-group type: Cmmm

Lattice parameters (Å, degrees): 4.5761 3.0844 7.0361 102.66 90.00 90.00
Last column: nearest neighbours and their distance in Å.
Atoms (fractional coordinates):
Ti  0.0000  0.3434  0.6868  2 Ru 2.65, 4 Ti 2.76
Ti  0.5000  0.1683  0.3365  8 Ti 2.72-2.78
Ti  0.0000  0.6566  0.3132  2 Ru 2.65, 4 Ti 2.76
Ti  0.5000  0.8317  0.6635  8 Ti 2.72-2.78
Ti  0.5000  0.5000  0.0000  4 Ru 2.76, 6 Ti 2.78-3.08
Ru  0.0000  0.0000  0.0000  8 Ti 2.65-2.76